Below is a geometry-optimized Tc4Ru structure, with properties calculated at the GGA-PBEsol level.

Calculated values
Volume in Å³/atom: 13.9
DOS at the Fermi energy in states/eV/atom: 1.122
ΔH_f (0 K) in eV/atom: 0.0658
Space group: I4/m (87)
Total magnetic moment in μB/cell: 0.00

a b c (Å): 3.8186 4.6709 4.6709
angles (deg): 80.38 65.87 65.87
Closest atoms and distances in Å follow each position.
Fractional coordinates of all 5 atoms:
Tc  0.7984  0.5975  0.8056  9 Tc 2.66-2.74, 3 Ru 2.68-2.70
Tc  0.6041  0.1944  0.5975  9 Tc 2.66-2.74, 3 Ru 2.68-2.70
Tc  0.3959  0.8056  0.4025  9 Tc 2.66-2.74, 3 Ru 2.68-2.70
Tc  0.2016  0.4025  0.1944  9 Tc 2.66-2.74, 3 Ru 2.68-2.70
Ru  0.0000  0.0000  0.0000  12 Tc 2.68-2.70

Below is a geometry-optimized TcRu3 structure, with properties calculated at the GGA-PBEsol level.

Calculated values
Volume in Å³/atom: 13.4
DOS at the Fermi energy in states/eV/atom: 0.942
ΔH_f (0 K) in eV/atom: -0.0300
Space group: P-6m2 (187)
Total magnetic moment in μB/cell: 0.00

a b c (Å): 2.6905 2.6905 8.5631
angles (deg): 90.00 90.00 120.00
Closest atoms and distances in Å follow each position.
Fractional coordinates of all 4 atoms:
Ru  0.3333  0.6667  0.7502  9 Ru 2.64-2.69, 3 Tc 2.65
Ru  0.0000  0.0000  0.0000  12 Ru 2.64-2.69
Ru  0.3333  0.6667  0.2499  9 Ru 2.64-2.69, 3 Tc 2.65
Tc  0.0000  0.0000  0.5000  6 Ru 2.65, 6 Tc 2.69

Below is a geometry-optimized TcRu3 structure, with properties calculated at the GGA-PBEsol level.

Calculated values
Volume in Å³/atom: 13.4
DOS at the Fermi energy in states/eV/atom: 0.812
ΔH_f (0 K) in eV/atom: -0.0462
Space group: Imm2 (44)
Total magnetic moment in μB/cell: 0.00

a b c (Å): 2.6992 4.6717 5.0371
angles (deg): 117.63 105.54 90.00
Closest atoms and distances in Å follow each position.
Fractional coordinates of all 4 atoms:
Ru  0.7499  0.7495  0.4997  3 Tc 2.63-2.64, 9 Ru 2.64-2.70
Ru  0.2502  0.2498  0.5003  3 Tc 2.64, 9 Ru 2.64-2.70
Ru  0.5000  0.8338  0.0000  8 Ru 2.64-2.70, 4 Tc 2.70
Tc  0.0000  0.3334  0.0000  10 Ru 2.63-2.70, 2 Tc 2.70

Below is a geometry-optimized TcRu2 structure, with properties calculated at the GGA-PBEsol level.

Calculated values
Volume in Å³/atom: 13.5
DOS at the Fermi energy in states/eV/atom: 0.785
ΔH_f (0 K) in eV/atom: -0.0531
Space group: Cm (8)
Total magnetic moment in μB/cell: 0.00

a b c (Å): 2.7004 5.0458 6.3331
angles (deg): 103.12 90.00 105.52
Closest atoms and distances in Å follow each position.
Fractional coordinates of all 6 atoms:
Ru  0.6672  0.3344  0.3336  3 Tc 2.64, 9 Ru 2.64-2.70
Ru  0.3889  0.7777  0.2771  8 Ru 2.64-2.70, 4 Tc 2.69
Ru  0.0006  0.0013  0.9994  4 Tc 2.64, 8 Ru 2.65-2.70
Ru  0.3327  0.6655  0.6677  5 Tc 2.64, 7 Ru 2.66-2.70
Tc  0.0546  0.1091  0.6097  8 Ru 2.64-2.69, 4 Tc 2.70-2.72
Tc  0.7227  0.4454  0.9457  8 Ru 2.64-2.69, 4 Tc 2.70-2.72

Below is a geometry-optimized TcRu3 structure, with properties calculated at the GGA-PBEsol level.

Calculated values
Volume in Å³/atom: 13.5
DOS at the Fermi energy in states/eV/atom: 0.776
ΔH_f (0 K) in eV/atom: 0.0197
Space group: Pmmn (59)
Total magnetic moment in μB/cell: 0.00

a b c (Å): 4.6461 5.3727 12.9472
angles (deg): 90.00 90.00 90.00
Closest atoms and distances in Å follow each position.
Fractional coordinates of all 24 atoms:
Ru  0.5014  0.0000  0.5000  4 Tc 2.60-2.69, 8 Ru 2.62-2.69
Ru  0.0007  0.2501  0.5000  4 Tc 2.61-2.69, 8 Ru 2.62-2.69
Ru  0.8328  0.0000  0.8365  4 Tc 2.62-2.75, 8 Ru 2.62-2.73
Ru  0.6645  0.2507  0.6633  4 Tc 2.62-2.74, 8 Ru 2.62-2.73
Ru  0.1672  0.5000  0.3365  4 Tc 2.62-2.75, 8 Ru 2.62-2.73
Ru  0.6645  0.2507  0.3367  4 Tc 2.62-2.74, 8 Ru 2.62-2.73
Ru  0.1672  0.5000  0.6635  4 Tc 2.62-2.75, 8 Ru 2.62-2.73
Ru  0.6645  0.7493  0.6633  4 Tc 2.62-2.74, 8 Ru 2.62-2.73
Ru  0.0007  0.7499  0.5000  4 Tc 2.61-2.69, 8 Ru 2.62-2.69
Ru  0.4986  0.5000  0.0000  4 Tc 2.60-2.69, 8 Ru 2.62-2.69
Ru  0.9993  0.7501  0.0000  4 Tc 2.61-2.69, 8 Ru 2.62-2.69
Ru  0.3355  0.2493  0.1633  4 Tc 2.62-2.74, 8 Ru 2.62-2.73
Ru  0.6645  0.7493  0.3367  4 Tc 2.62-2.74, 8 Ru 2.62-2.73
Ru  0.9993  0.2499  0.0000  4 Tc 2.61-2.69, 8 Ru 2.62-2.69
Ru  0.3355  0.7507  0.1633  4 Tc 2.62-2.74, 8 Ru 2.62-2.73
Ru  0.3355  0.2493  0.8367  4 Tc 2.62-2.74, 8 Ru 2.62-2.73
Ru  0.3355  0.7507  0.8367  4 Tc 2.62-2.74, 8 Ru 2.62-2.73
Ru  0.8328  0.0000  0.1635  4 Tc 2.62-2.75, 8 Ru 2.62-2.73
Tc  0.8310  0.5000  0.1615  12 Ru 2.60-2.75
Tc  0.4997  0.5000  0.5000  12 Ru 2.62-2.69
Tc  0.5003  0.0000  0.0000  12 Ru 2.62-2.69
Tc  0.1690  0.0000  0.3385  12 Ru 2.60-2.75
Tc  0.8310  0.5000  0.8385  12 Ru 2.60-2.75
Tc  0.1690  0.0000  0.6615  12 Ru 2.60-2.75

Below is a geometry-optimized Tc8Ru structure, with properties calculated at the GGA-PBEsol level.

Calculated values
Volume in Å³/atom: 13.9
DOS at the Fermi energy in states/eV/atom: 1.169
ΔH_f (0 K) in eV/atom: 0.0713
Space group: I4/mmm (139)
Total magnetic moment in μB/cell: 0.00

a b c (Å): 3.8167 6.0416 6.0416
angles (deg): 84.27 71.59 71.59
Closest atoms and distances in Å follow each position.
Fractional coordinates of all 9 atoms:
Tc  0.3347  0.3306  0.0000  10 Tc 2.68-2.72, 2 Ru 2.69
Tc  0.3313  0.6687  0.6687  1 Ru 2.69, 11 Tc 2.69-2.73
Tc  0.6653  0.6694  0.0000  10 Tc 2.68-2.72, 2 Ru 2.69
Tc  0.3347  0.0000  0.3306  10 Tc 2.68-2.72, 2 Ru 2.69
Tc  0.0000  0.6687  0.3313  1 Ru 2.69, 11 Tc 2.69-2.73
Tc  0.6687  0.3313  0.3313  1 Ru 2.69, 11 Tc 2.69-2.73
Tc  0.6653  0.0000  0.6694  10 Tc 2.68-2.72, 2 Ru 2.69
Tc  0.0000  0.3313  0.6687  1 Ru 2.69, 11 Tc 2.69-2.73
Ru  0.0000  0.0000  0.0000  12 Tc 2.69

Below is a geometry-optimized Tc2Ru structure, with properties calculated at the GGA-PBEsol level.

Calculated values
Volume in Å³/atom: 13.7
DOS at the Fermi energy in states/eV/atom: 0.954
ΔH_f (0 K) in eV/atom: -0.0342
Space group: Cmcm (63)
Total magnetic moment in μB/cell: 0.00

a b c (Å): 2.7080 4.2970 7.1966
angles (deg): 90.00 100.84 90.00
Closest atoms and distances in Å follow each position.
Fractional coordinates of all 6 atoms:
Ru  0.2229  0.2500  0.4458  6 Tc 2.65-2.73, 6 Ru 2.65-2.71
Ru  0.7771  0.7500  0.5542  6 Tc 2.65-2.73, 6 Ru 2.65-2.71
Tc  0.8870  0.2500  0.7739  4 Ru 2.65-2.69, 8 Tc 2.67-2.74
Tc  0.4446  0.7500  0.8892  10 Tc 2.66-2.74, 2 Ru 2.73
Tc  0.5554  0.2500  0.1108  10 Tc 2.66-2.74, 2 Ru 2.73
Tc  0.1130  0.7500  0.2261  4 Ru 2.65-2.69, 8 Tc 2.67-2.74

Below is a geometry-optimized Tc2Ru structure, with properties calculated at the GGA-PBEsol level.

Calculated values
Volume in Å³/atom: 13.7
DOS at the Fermi energy in states/eV/atom: 0.882
ΔH_f (0 K) in eV/atom: -0.0542
Space group: C2/m (12)
Total magnetic moment in μB/cell: 0.00

a b c (Å): 2.7010 5.0929 6.3755
angles (deg): 103.14 90.00 105.38
Closest atoms and distances in Å follow each position.
Fractional coordinates of all 6 atoms:
Ru  0.9717  0.9435  0.1945  9 Tc 2.65-2.71, 3 Ru 2.67-2.70
Ru  0.0283  0.0565  0.8055  9 Tc 2.65-2.71, 3 Ru 2.67-2.70
Tc  0.6928  0.3855  0.1399  7 Tc 2.65-2.73, 5 Ru 2.65-2.71
Tc  0.6368  0.2737  0.5260  8 Tc 2.63-2.73, 4 Ru 2.65-2.70
Tc  0.3072  0.6145  0.8601  7 Tc 2.65-2.73, 5 Ru 2.65-2.71
Tc  0.3632  0.7263  0.4740  8 Tc 2.63-2.73, 4 Ru 2.65-2.70

Below is a geometry-optimized Tc2Ru structure, with properties calculated at the GGA-PBEsol level.

Calculated values
Volume in Å³/atom: 13.7
DOS at the Fermi energy in states/eV/atom: 0.890
ΔH_f (0 K) in eV/atom: -0.0529
Space group: Cm (8)
Total magnetic moment in μB/cell: 0.00

a b c (Å): 2.7061 5.0852 6.3757
angles (deg): 103.22 90.00 105.43
Closest atoms and distances in Å follow each position.
Fractional coordinates of all 6 atoms:
Tc  0.3329  0.6658  0.6646  8 Tc 2.65-2.71, 4 Ru 2.71-2.72
Tc  0.7211  0.4421  0.9463  4 Ru 2.64-2.68, 8 Tc 2.68-2.71
Tc  0.3895  0.7790  0.2775  5 Ru 2.65-2.67, 7 Tc 2.66-2.72
Tc  0.0569  0.1138  0.6113  9 Tc 2.65-2.72, 3 Ru 2.65-2.66
Ru  0.6661  0.3322  0.3337  8 Tc 2.65-2.71, 4 Ru 2.71
Ru  0.0003  0.0005  0.9996  8 Tc 2.64-2.72, 4 Ru 2.71

Below is a geometry-optimized TcRu3 structure, with properties calculated at the GGA-PBEsol level.

Calculated values
Volume in Å³/atom: 13.4
DOS at the Fermi energy in states/eV/atom: 0.983
ΔH_f (0 K) in eV/atom: 0.0187
Space group: P6_3/mmc (194)
Total magnetic moment in μB/cell: 0.00

a b c (Å): 5.3691 5.3691 8.6168
angles (deg): 90.00 90.00 120.00
Closest atoms and distances in Å follow each position.
Fractional coordinates of all 16 atoms:
Ru  0.5000  0.0000  0.5000  4 Tc 2.65-2.68, 8 Ru 2.66-2.68
Ru  0.0000  0.5000  0.5000  4 Tc 2.65-2.68, 8 Ru 2.66-2.68
Ru  0.1662  0.3325  0.7500  4 Tc 2.65-2.68, 8 Ru 2.66-2.69
Ru  0.1662  0.8338  0.7500  4 Tc 2.65-2.68, 8 Ru 2.66-2.69
Ru  0.5000  0.5000  0.5000  4 Tc 2.65-2.68, 8 Ru 2.66-2.68
Ru  0.8338  0.6675  0.2500  4 Tc 2.65-2.68, 8 Ru 2.66-2.69
Ru  0.0000  0.5000  0.0000  4 Tc 2.65-2.68, 8 Ru 2.66-2.68
Ru  0.5000  0.5000  0.0000  4 Tc 2.65-2.68, 8 Ru 2.66-2.68
Ru  0.5000  0.0000  0.0000  4 Tc 2.65-2.68, 8 Ru 2.66-2.68
Ru  0.3325  0.1662  0.2500  4 Tc 2.65-2.68, 8 Ru 2.66-2.69
Ru  0.6675  0.8338  0.7500  4 Tc 2.65-2.68, 8 Ru 2.66-2.69
Ru  0.8338  0.1662  0.2500  4 Tc 2.65-2.68, 8 Ru 2.66-2.69
Tc  0.0000  0.0000  0.0000  12 Ru 2.65-2.68
Tc  0.0000  0.0000  0.5000  12 Ru 2.65-2.68
Tc  0.6667  0.3333  0.7500  12 Ru 2.65-2.68
Tc  0.3333  0.6667  0.2500  12 Ru 2.65-2.68

Below is a geometry-optimized TcRu2 structure, with properties calculated at the GGA-PBEsol level.

Calculated values
Volume in Å³/atom: 13.5
DOS at the Fermi energy in states/eV/atom: 1.082
ΔH_f (0 K) in eV/atom: 0.0823
Space group: P-3m1 (164)
Total magnetic moment in μB/cell: 0.00

a b c (Å): 2.6722 2.6722 6.5660
angles (deg): 90.00 90.00 120.00
Closest atoms and distances in Å follow each position.
Fractional coordinates of all 3 atoms:
Ru  0.6667  0.3333  0.3316  3 Tc 2.67, 9 Ru 2.67-2.70
Ru  0.3333  0.6667  0.6684  3 Tc 2.67, 9 Ru 2.67-2.70
Tc  0.0000  0.0000  0.0000  6 Ru 2.67, 6 Tc 2.67

Below is a geometry-optimized TcRu2 structure, with properties calculated at the GGA-PBEsol level.

Calculated values
Volume in Å³/atom: 13.5
DOS at the Fermi energy in states/eV/atom: 0.810
ΔH_f (0 K) in eV/atom: -0.0500
Space group: C2/m (12)
Total magnetic moment in μB/cell: 0.00

a b c (Å): 2.7013 5.0452 6.3324
angles (deg): 103.10 90.00 105.53
Closest atoms and distances in Å follow each position.
Fractional coordinates of all 6 atoms:
Tc  0.6936  0.3871  0.6394  8 Ru 2.64-2.70, 4 Tc 2.66-2.70
Tc  0.3064  0.6129  0.3606  8 Ru 2.64-2.70, 4 Tc 2.66-2.70
Ru  0.3609  0.7218  0.9717  9 Ru 2.64-2.70, 3 Tc 2.64-2.70
Ru  0.0281  0.0561  0.3052  5 Tc 2.64-2.70, 7 Ru 2.64-2.70
Ru  0.6391  0.2782  0.0283  9 Ru 2.64-2.70, 3 Tc 2.64-2.70
Ru  0.9719  0.9439  0.6948  5 Tc 2.64-2.70, 7 Ru 2.64-2.70